Below is a relaxed Sr2CuGe4Pt3 crystal, with properties calculated at the GGA-PBE level.

Computed properties:
- calculated formation energy (eV per atom) = -0.707
- symmetry = P-4m2, No. 115
- E (eV per formula unit) = -51.12
- total magnetic moment (μB per atom) = 0.000

a = 4.4183 Å, b = 4.4183 Å, c = 10.2405 Å
α = 90.00°, β = 90.00°, γ = 90.00°
Sites, in units of the cell vectors:
Sr 0.0000 0.5000 0.2494
Sr 0.5000 0.0000 0.7506
Cu 0.5000 0.5000 0.0000
Ge 0.0000 0.0000 0.5000
Ge 0.0000 0.5000 0.8754
Ge 0.5000 0.0000 0.1246
Ge 0.5000 0.5000 0.5000
Pt 0.0000 0.0000 0.0000
Pt 0.0000 0.5000 0.6253
Pt 0.5000 0.0000 0.3747